No. 1
! H3PdRh (GGA-PBE, optimized geometry); values from VASP
! Energy above the most stable polymorph in this dataset, meV per atom: 20
&SYSTEM
  ibrav = 0, nat = 20, ntyp = 3
/
ATOMIC_SPECIES
H 1.01 H.upf
Pd 106.42 Pd.upf
Rh 102.91 Rh.upf
CELL_PARAMETERS angstrom
-3.858 1.393 2.906
-3.521 -3.650 -2.925
2.846 -2.188 4.827
ATOMIC_POSITIONS crystal
H 0.093 0.688 0.555
H 0.907 0.312 0.445
H 0.593 0.812 0.945
H 0.407 0.188 0.055
H 0.597 0.473 0.337
H 0.403 0.527 0.663
H 0.097 0.027 0.163
H 0.903 0.973 0.837
H 0.125 0.545 0.181
H 0.875 0.455 0.819
H 0.625 0.955 0.319
H 0.375 0.045 0.681
Pd 0.746 0.111 0.643
Pd 0.254 0.889 0.357
Pd 0.246 0.389 0.857
Pd 0.754 0.611 0.143
Rh 0.246 0.384 0.357
Rh 0.754 0.616 0.643
Rh 0.746 0.116 0.143
Rh 0.254 0.884 0.857



No. 2
! HPdRh2 (GGA-PBE, optimized geometry); values from VASP
! Energy above the most stable polymorph in this dataset, meV per atom: 145
&SYSTEM
  ibrav = 0, nat = 8, ntyp = 3
/
ATOMIC_SPECIES
H 1.01 H.upf
Rh 102.91 Rh.upf
Pd 106.42 Pd.upf
CELL_PARAMETERS angstrom
6.049 0.000 0.000
0.000 6.049 0.000
3.025 3.025 2.633
ATOMIC_POSITIONS crystal
H 0.500 0.500 0.000
H 0.250 0.750 0.500
Rh 0.523 0.125 0.250
Rh 0.227 0.625 0.250
Rh 0.375 0.477 0.750
Rh 0.875 0.773 0.750
Pd 0.000 0.000 0.000
Pd 0.750 0.250 0.500



No. 3
! H7Pd4Rh (GGA-PBE, optimized geometry); values from VASP
! Calculated total energy, eV/atom: -4.29
&SYSTEM
  ibrav = 0, nat = 12, ntyp = 3
/
ATOMIC_SPECIES
H 1.01 H.upf
Pd 106.42 Pd.upf
Rh 102.91 Rh.upf
CELL_PARAMETERS angstrom
-3.097 0.947 -1.422
0.666 -1.274 -6.646
0.798 -3.864 8.819
ATOMIC_POSITIONS crystal
H 0.343 0.435 0.371
H 0.657 0.565 0.629
H 0.762 0.158 0.895
H 0.238 0.842 0.105
H 0.696 0.774 0.389
H 0.500 0.000 0.000
H 0.304 0.226 0.611
Pd 0.673 0.664 0.003
Pd 0.327 0.336 0.997
Pd 0.331 0.809 0.491
Pd 0.669 0.191 0.509
Rh 0.000 0.000 0.000